Computed, not measured: a geometry-optimized NaNdBr4 structure at the GGA-PBE level of DFT.

Calculated values
**SG**: P2_1/c (14)
**Excess energy over the best structure of this formula in the dataset**: 13 meV per atom
**Formation energy (no corrections)**: -1743 meV/atom
**Total magnetization**: 0.0 μB per cell
**Electronic total energy**: -3.873 eV/atom

Cell lengths 8.259, 6.851, 8.395 Å; angles 90.00, 64.50, 90.00 degrees
Element x y z (fractional)
Na1 0.500 0.000 0.500
Na2 0.000 0.500 0.500
Nd1 0.000 0.000 0.000
Nd2 0.500 0.500 0.000
Br1 0.681 0.748 0.162
Br2 0.819 0.248 0.838
Br3 0.344 0.282 0.320
Br4 0.156 0.782 0.680
Br5 0.319 0.252 0.838
Br6 0.181 0.752 0.162
Br7 0.656 0.718 0.680
Br8 0.844 0.218 0.320



Computed, not measured: a geometry-optimized Rb3Nd3SiO8 structure at the GGA-PBE level of DFT.

Calculated values
**SG**: R-3m (166)
**Formation energy (no corrections)**: -2425 meV/atom
**Total magnetization**: 0.0 μB per cell
**Electronic total energy**: -6.578 eV/atom

Cell lengths 6.931, 6.932, 7.746 Å; angles 116.59, 90.00, 120.00 degrees
Element x y z (fractional)
Rb1 0.000 0.000 0.000
Rb2 0.000 0.500 0.000
Rb3 0.500 0.500 0.000
Nd1 0.500 0.000 0.500
Nd2 0.500 0.500 0.500
Nd3 0.000 0.500 0.500
Si1 0.000 0.000 0.500
O1 0.273 0.545 0.318
O2 0.727 0.455 0.682
O3 0.813 0.625 0.344
O4 0.187 0.375 0.656
O5 0.813 0.031 0.344
O6 0.187 0.969 0.656
O7 0.219 0.031 0.344
O8 0.781 0.969 0.656



Computed, not measured: a geometry-optimized SiAsPbBr2 structure at the GGA-PBE level of DFT.

Calculated values
**SG**: P4/mmm (123)
**Excess energy over the best structure of this formula in the dataset**: 593 meV per atom
**Formation energy (no corrections)**: 668 meV/atom
**Total magnetization**: 0.5 μB per cell
**Electronic total energy**: -2.757 eV/atom

Cell lengths 5.780, 5.780, 5.775 Å; angles 90.00, 90.00, 90.00 degrees
Site moments in Bohr magnetons follow the coordinates.
Element x y z (fractional)
Pb1 0.000 0.000 0.000  0.04
As1 0.000 0.000 0.500  0.63
Si1 0.500 0.500 0.500  -0.32
Br1 0.000 0.500 0.000  0.04
Br2 0.500 0.000 0.000  0.04



Computed, not measured: a geometry-optimized Ac3Zn2Rh7 structure at the GGA-PBE level of DFT.

Calculated values
**SG**: R-3m (166)
**Total magnetization**: 0.0 μB per cell
**Electronic total energy**: -6.094 eV/atom
**Formation enthalpy at 0 K**: -0.566 eV/atom

Cell lengths 5.578, 5.578, 9.124 Å; angles 72.20, 72.20, 60.00 degrees
Element x y z (fractional)
Ac1 0.000 0.000 0.000
Ac2 0.861 0.861 0.418
Ac3 0.139 0.139 0.582
Zn1 0.666 0.666 0.002
Zn2 0.334 0.334 0.998
Rh1 0.500 0.500 0.500
Rh2 0.921 0.419 0.242
Rh3 0.419 0.921 0.242
Rh4 0.419 0.419 0.242
Rh5 0.079 0.581 0.758
Rh6 0.581 0.581 0.758
Rh7 0.581 0.079 0.758



Computed, not measured: a geometry-optimized Li2LaMg3 structure at the GGA-PBE level of DFT.

Calculated values
**SG**: P4/mmm (123)
**Excess energy over the best structure of this formula in the dataset**: 0 meV per atom
**Total magnetization**: 0.1 μB per cell
**Electronic total energy**: -2.313 eV/atom
**Formation enthalpy at 0 K**: -0.056 eV/atom

Cell lengths 3.487, 3.487, 11.764 Å; angles 90.00, 90.00, 90.00 degrees
Element x y z (fractional)
Li1 0.500 0.500 0.855
Li2 0.500 0.500 0.145
La1 0.500 0.500 0.500
Mg1 0.000 0.000 0.000
Mg2 0.000 0.000 0.714
Mg3 0.000 0.000 0.286



Computed, not measured: a geometry-optimized Ac2BiW structure at the GGA-PBE level of DFT.

Calculated values
**SG**: R-3m (166)
**Total magnetization**: 0.0 μB per cell
**Electronic total energy**: -5.281 eV/atom
**Formation enthalpy at 0 K**: 0.982 eV/atom

Cell lengths 3.444, 3.444, 12.409 Å; angles 82.02, 82.02, 60.00 degrees
Element x y z (fractional)
Ac1 0.082 0.082 0.755
Ac2 0.918 0.918 0.245
Bi1 0.500 0.500 0.500
W1 0.000 0.000 0.000



Computed, not measured: a geometry-optimized SrV3Re structure at the GGA-PBE level of DFT.

Calculated values
**SG**: Pm-3m (221)
**Excess energy over the best structure of this formula in the dataset**: 0 meV per atom
**Total magnetization**: 6.0 μB per cell
**Electronic total energy**: -7.448 eV/atom
**Formation enthalpy at 0 K**: 0.850 eV/atom

Cell lengths 4.842, 4.842, 4.842 Å; angles 90.00, 90.00, 90.00 degrees
Site moments in Bohr magnetons follow the coordinates.
Element x y z (fractional)
Re1 0.000 0.000 0.000  -0.50
Sr1 0.500 0.500 0.500  0.08
V1 0.000 0.500 0.000  1.78
V2 0.000 0.000 0.500  1.78
V3 0.500 0.000 0.000  1.78



Computed, not measured: a geometry-optimized Tb2Pm3Pr3 structure at the GGA-PBE level of DFT.

Calculated values
**SG**: C2/m (12)
**Excess energy over the best structure of this formula in the dataset**: 43 meV per atom
**Total magnetization**: 0.0 μB per cell
**Electronic total energy**: -4.657 eV/atom
**Formation enthalpy at 0 K**: 0.074 eV/atom

Cell lengths 5.856, 6.098, 8.860 Å; angles 110.23, 109.30, 90.00 degrees
Element x y z (fractional)
Tb1 0.750 0.682 0.500
Tb2 0.250 0.318 0.500
Pm1 0.866 0.311 0.732
Pm2 0.134 0.689 0.268
Pm3 0.000 0.000 0.000
Pr1 0.365 0.921 0.731
Pr2 0.500 0.500 0.000
Pr3 0.635 0.079 0.269



Computed, not measured: a geometry-optimized AlAg2PbS4 structure at the GGA-PBE level of DFT.

Calculated values
**SG**: I222 (23)
**Formation energy (no corrections)**: -463 meV/atom
**Total magnetization**: 0.0 μB per cell
**Electronic total energy**: -4.171 eV/atom

Cell lengths 6.788, 6.126, 6.126 Å; angles 75.85, 56.36, 56.36 degrees
Element x y z (fractional)
Al1 0.000 0.500 0.500
Ag1 0.500 0.713 0.287
Ag2 0.500 0.287 0.713
Pb1 0.000 0.000 0.000
S1 0.613 0.522 0.865
S2 0.387 0.135 0.478
S3 0.000 0.478 0.135
S4 0.000 0.865 0.522



Computed, not measured: a geometry-optimized Rb2Ge2N structure at the GGA-PBE level of DFT.

Calculated values
**SG**: I4/mmm (139)
**Excess energy over the best structure of this formula in the dataset**: 0 meV per atom
**Formation energy (no corrections)**: 581 meV/atom
**Total magnetization**: 1.5 μB per cell
**Electronic total energy**: -3.318 eV/atom

Cell lengths 3.706, 3.706, 10.638 Å; angles 79.97, 79.97, 90.00 degrees
Site moments in Bohr magnetons follow the coordinates.
Element x y z (fractional)
Ge1 0.750 0.250 0.500  -0.01
Ge2 0.250 0.750 0.500  -0.01
Rb1 0.418 0.418 0.164  0.01
Rb2 0.582 0.582 0.836  0.01
N1 0.000 0.000 0.000  1.00



Computed, not measured: a geometry-optimized PmAl4Zn4 structure at the GGA-PBE level of DFT.

Calculated values
**SG**: I4/m (87)
**Total magnetization**: 0.0 μB per cell
**Electronic total energy**: -2.804 eV/atom
**Formation enthalpy at 0 K**: -0.047 eV/atom

Cell lengths 4.948, 8.244, 8.244 Å; angles 90.00, 90.00, 90.00 degrees
Element x y z (fractional)
Pm1 0.000 0.000 0.000
Pm2 0.500 0.500 0.500
Al1 0.499 0.424 0.865
Al2 0.999 0.635 0.924
Al3 0.499 0.576 0.135
Al4 0.001 0.076 0.635
Al5 0.501 0.865 0.576
Al6 0.001 0.924 0.365
Al7 0.999 0.365 0.076
Al8 0.501 0.135 0.424
Zn1 0.501 0.879 0.228
Zn2 0.501 0.121 0.772
Zn3 0.001 0.728 0.621
Zn4 0.999 0.379 0.728
Zn5 0.999 0.621 0.272
Zn6 0.499 0.228 0.121
Zn7 0.499 0.772 0.879
Zn8 0.001 0.272 0.379



Computed, not measured: a geometry-optimized In2Si2Br structure at the GGA-PBE level of DFT.

Calculated values
**SG**: I4/mmm (139)
**Formation energy (no corrections)**: 101 meV/atom
**Total magnetization**: 0.0 μB per cell
**Electronic total energy**: -3.498 eV/atom

Cell lengths 3.563, 3.563, 9.629 Å; angles 79.34, 79.34, 90.00 degrees
Element x y z (fractional)
Si1 0.750 0.250 0.500
Si2 0.250 0.750 0.500
Br1 0.000 0.000 0.000
In1 0.384 0.384 0.232
In2 0.616 0.616 0.768



Computed, not measured: a geometry-optimized Li2La2HgPd5 structure at the GGA-PBE level of DFT.

Calculated values
**SG**: P4/mbm (127)
**Total magnetization**: 0.0 μB per cell
**Electronic total energy**: -4.597 eV/atom
**Formation enthalpy at 0 K**: -0.602 eV/atom

Cell lengths 3.943, 9.644, 9.644 Å; angles 90.00, 90.00, 90.00 degrees
Element x y z (fractional)
Li1 0.000 0.116 0.616
Li2 0.000 0.884 0.384
Li3 0.000 0.616 0.884
Li4 0.000 0.384 0.116
La1 0.000 0.682 0.182
La2 0.000 0.318 0.818
La3 0.000 0.182 0.318
La4 0.000 0.818 0.682
Hg1 0.000 0.000 0.000
Hg2 0.000 0.500 0.500
Pd1 0.500 0.212 0.068
Pd2 0.500 0.788 0.932
Pd3 0.500 0.068 0.788
Pd4 0.500 0.712 0.432
Pd5 0.500 0.932 0.212
Pd6 0.500 0.288 0.568
Pd7 0.500 0.568 0.712
Pd8 0.500 0.432 0.288
Pd9 0.500 0.500 0.000
Pd10 0.500 0.000 0.500



Computed, not measured: a geometry-optimized KZnGe structure at the GGA-PBE level of DFT.

Calculated values
**SG**: I4/mmm (139)
**Excess energy over the best structure of this formula in the dataset**: 30 meV per atom
**Total magnetization**: 0.0 μB per cell
**Electronic total energy**: -2.353 eV/atom
**Formation enthalpy at 0 K**: -0.024 eV/atom

Cell lengths 4.198, 4.198, 10.493 Å; angles 101.54, 101.54, 90.00 degrees
Element x y z (fractional)
K1 0.656 0.656 0.312
K2 0.344 0.344 0.688
Zn1 0.000 0.500 0.000
Zn2 0.500 0.000 0.000
Ge1 0.076 0.076 0.153
Ge2 0.924 0.924 0.847



Computed, not measured: a geometry-optimized RbSr2Cl5 structure at the GGA-PBE level of DFT.

Calculated values
**SG**: P2_1/c (14)
**Excess energy over the best structure of this formula in the dataset**: 0 meV per atom
**Formation energy (no corrections)**: -2362 meV/atom
**Total magnetization**: 0.0 μB per cell
**Electronic total energy**: -4.057 eV/atom

Cell lengths 8.021, 9.124, 12.932 Å; angles 89.78, 90.00, 90.00 degrees
Element x y z (fractional)
Rb1 0.449 0.489 0.833
Rb2 0.551 0.511 0.167
Rb3 0.949 0.511 0.667
Rb4 0.051 0.489 0.333
Sr1 0.480 0.998 0.822
Sr2 0.520 0.002 0.178
Sr3 0.980 0.002 0.678
Sr4 0.020 0.998 0.322
Sr5 0.436 0.754 0.505
Sr6 0.564 0.246 0.495
Sr7 0.936 0.246 0.995
Sr8 0.064 0.754 0.005
Cl1 0.331 0.468 0.581
Cl2 0.669 0.532 0.419
Cl3 0.831 0.532 0.919
Cl4 0.169 0.468 0.081
Cl5 0.668 0.790 0.683
Cl6 0.332 0.210 0.317
Cl7 0.168 0.210 0.817
Cl8 0.832 0.790 0.183
Cl9 0.191 0.777 0.786
Cl10 0.809 0.223 0.214
Cl11 0.691 0.223 0.714
Cl12 0.309 0.777 0.286
Cl13 0.052 0.792 0.503
Cl14 0.948 0.208 0.497
Cl15 0.552 0.208 0.997
Cl16 0.448 0.792 0.003
Cl17 0.842 0.964 0.898
Cl18 0.158 0.036 0.102
Cl19 0.342 0.036 0.602
Cl20 0.658 0.964 0.398



Computed, not measured: a geometry-optimized BaCoAs2Br structure at the GGA-PBE level of DFT.

Calculated values
**SG**: P4/mmm (123)
**Excess energy over the best structure of this formula in the dataset**: 1643 meV per atom
**Formation energy (no corrections)**: 1112 meV/atom
**Total magnetization**: 6.1 μB per cell
**Electronic total energy**: -2.888 eV/atom

Cell lengths 6.450, 6.450, 6.073 Å; angles 90.00, 90.00, 90.00 degrees
Site moments in Bohr magnetons follow the coordinates.
Element x y z (fractional)
As1 0.000 0.500 0.000  0.84
As2 0.500 0.000 0.000  0.84
Co1 0.500 0.500 0.500  2.06
Ba1 0.000 0.000 0.000  0.07
Br1 0.000 0.000 0.500  0.06



Computed, not measured: a geometry-optimized PuSn2Au structure at the GGA-PBE level of DFT.

Calculated values
**SG**: P4/mmm (123)
**Total magnetization**: 5.6 μB per cell
**Electronic total energy**: -6.759 eV/atom
**Formation enthalpy at 0 K**: -0.356 eV/atom

Cell lengths 4.396, 4.649, 4.649 Å; angles 90.00, 90.00, 90.00 degrees
Site moments in Bohr magnetons follow the coordinates.
Element x y z (fractional)
Au1 0.500 0.500 0.500  0.05
Sn1 0.000 0.000 0.500  0.02
Sn2 0.000 0.500 0.000  0.02
Pu1 0.500 0.000 0.000  5.28



Computed, not measured: a geometry-optimized Dy2TlHg structure at the GGA-PBE level of DFT.

Calculated values
**SG**: P4/mmm (123)
**Total magnetization**: 0.0 μB per cell
**Electronic total energy**: -3.380 eV/atom
**Formation enthalpy at 0 K**: -0.412 eV/atom

Cell lengths 3.761, 3.761, 7.520 Å; angles 90.00, 90.00, 90.00 degrees
Element x y z (fractional)
Tl1 0.500 0.500 0.500
Hg1 0.500 0.500 0.000
Dy1 0.000 0.000 0.759
Dy2 0.000 0.000 0.241



Computed, not measured: a geometry-optimized GdErTcAu structure at the GGA-PBE level of DFT.

Calculated values
**SG**: F-43m (216)
**Total magnetization**: 7.0 μB per cell
**Electronic total energy**: -8.421 eV/atom
**Formation enthalpy at 0 K**: -0.349 eV/atom

Cell lengths 4.954, 4.954, 4.954 Å; angles 60.00, 60.00, 60.00 degrees
Site moments in Bohr magnetons follow the coordinates.
Element x y z (fractional)
Gd1 0.250 0.250 0.250  7.02
Au1 0.000 0.000 0.000  0.00
Tc1 0.500 0.500 0.500  -0.12
Er1 0.750 0.750 0.750  0.00



Computed, not measured: a geometry-optimized KMnP2S8 structure at the GGA-PBE level of DFT.

Calculated values
**SG**: P-3 (147)
**Formation energy (no corrections)**: -324 meV/atom
**Total magnetization**: 2.0 μB per cell
**Electronic total energy**: -4.833 eV/atom

Cell lengths 5.796, 5.796, 9.631 Å; angles 90.00, 90.00, 120.00 degrees
Site moments in Bohr magnetons follow the coordinates.
Element x y z (fractional)
K1 0.000 0.000 0.000  0.00
Mn1 0.000 0.000 0.500  2.56
P1 0.667 0.333 0.296  0.01
P2 0.333 0.667 0.704  0.01
S1 0.333 0.667 0.911  -0.06
S2 0.319 0.331 0.357  -0.06
S3 0.669 0.988 0.357  -0.06
S4 0.667 0.333 0.089  -0.06
S5 0.331 0.012 0.643  -0.06
S6 0.681 0.669 0.643  -0.06
S7 0.988 0.319 0.643  -0.06
S8 0.012 0.681 0.357  -0.06



Computed, not measured: a geometry-optimized K2NiPb structure at the GGA-PBE level of DFT.

Calculated values
**SG**: P4/mmm (123)
**Total magnetization**: 0.6 μB per cell
**Electronic total energy**: -2.451 eV/atom
**Formation enthalpy at 0 K**: 0.470 eV/atom

Cell lengths 4.558, 4.554, 5.615 Å; angles 90.00, 90.00, 90.00 degrees
Site moments in Bohr magnetons follow the coordinates.
Element x y z (fractional)
K1 0.000 0.000 0.000  0.01
K2 0.500 0.500 0.000  0.01
Ni1 0.500 0.000 0.500  0.41
Pb1 0.000 0.500 0.500  0.06



Computed, not measured: a geometry-optimized SrCeN structure at the GGA-PBE level of DFT.

Calculated values
**SG**: P3m1 (156)
**Excess energy over the best structure of this formula in the dataset**: 0 meV per atom
**Formation energy (no corrections)**: -711 meV/atom
**Total magnetization**: 1.4 μB per cell
**Electronic total energy**: -6.025 eV/atom

Cell lengths 6.569, 3.709, 3.709 Å; angles 120.00, 90.00, 90.00 degrees
Site moments in Bohr magnetons follow the coordinates.
Element x y z (fractional)
Sr1 0.572 0.667 0.333  0.06
Ce1 0.134 0.000 0.000  0.89
N1 0.294 0.333 0.667  -0.04



Computed, not measured: a geometry-optimized LaSmZn structure at the GGA-PBE level of DFT.

Calculated values
**SG**: I4mm (107)
**Excess energy over the best structure of this formula in the dataset**: 0 meV per atom
**Total magnetization**: 0.4 μB per cell
**Electronic total energy**: -3.837 eV/atom
**Formation enthalpy at 0 K**: -0.197 eV/atom

Cell lengths 3.735, 3.735, 6.767 Å; angles 106.02, 106.02, 90.00 degrees
Site moments in Bohr magnetons follow the coordinates.
Element x y z (fractional)
Zn1 0.674 0.674 0.347  -0.01
Sm1 0.307 0.307 0.614  0.10
La1 0.019 0.019 0.038  0.09



Computed, not measured: a geometry-optimized YTe2Rh structure at the GGA-PBE level of DFT.

Calculated values
**SG**: P4mm (99)
**Excess energy over the best structure of this formula in the dataset**: 84 meV per atom
**Formation energy (no corrections)**: -728 meV/atom
**Total magnetization**: 0.0 μB per cell
**Electronic total energy**: -5.753 eV/atom

Cell lengths 3.993, 3.993, 6.135 Å; angles 90.00, 90.00, 90.00 degrees
Element x y z (fractional)
Rh1 0.500 0.500 0.819
Te1 0.000 0.000 0.924
Te2 0.500 0.500 0.299
Y1 0.000 0.000 0.458